A geometry-optimized Nb2CrTc4 structure. Source: Alexandria via LeMat-Bulk, functional PBE-GGA.

Structure (CIF):
```
data_Nb2CrTc4
_chemical_formula_sum 'Nb2 Cr1 Tc4'
_symmetry_space_group_name_H-M 'P 1'
_symmetry_Int_Tables_number 1
_cell_length_a 7.1128
_cell_length_b 7.1128
_cell_length_c 7.1128
_cell_angle_alpha 143.89
_cell_angle_beta 143.89
_cell_angle_gamma 52.00
loop_
_symmetry_equiv_pos_as_xyz
'x,y,z'
loop_
_atom_site_label
_atom_site_type_symbol
_atom_site_fract_x
_atom_site_fract_y
_atom_site_fract_z
Nb1 Nb 0.1356 0.1356 0.0000
Nb2 Nb 0.8644 0.8644 0.0000
Cr1 Cr 0.5000 0.5000 0.0000
Tc1 Tc 0.0000 0.5000 0.5000
Tc2 Tc 0.3211 0.3211 0.0000
Tc3 Tc 0.5000 0.0000 0.5000
Tc4 Tc 0.6789 0.6789 0.0000
```

Calculated values
- Mass density: 8414 kg/m³
- Energy of formation: 914.5 meV/atom
- Total energy: -9.261 eV per atom
- Space-group type: I4/mmm, No. 139